VASP calculation (PBE) on La3Nd8Th after structural relaxation.

Its energy relative to the elements is 0.2833 eV/atom. The calculation puts the raw total energy at -0.174 hartree per atom. As for the total moment: 0.000 μB per atom.

Cell lengths 6.624, 11.704, 11.781 Å; angles 90.00, 90.00, 90.00 degrees
Space group I222 (No. 23)
Symmetry-distinct sites (fractional):
La1 0.000 0.000 0.000 x2
La2 0.000 0.230 0.500 x4
Nd1 0.000 0.253 0.168 x8
Nd2 0.248 0.001 0.748 x8
Th1 0.000 0.500 0.000 x2